[1]
A plane-wave DFT calculation with PBE-GGA was carried out for AcHoCuS4 after structural relaxation.

Computed properties:
- energy relative to the elements, uncorrected (meV/atom) = -1541
- energy (eV/cell) = -80.16

```
data_AcHoCuS4
_cell_length_a 6.7531
_cell_length_b 5.7633
_cell_length_c 8.1890
_cell_angle_alpha 90.00
_cell_angle_beta 107.28
_cell_angle_gamma 90.00
_symmetry_space_group_name_H-M 'P 1'
_symmetry_Int_Tables_number 1
_symmetry_space_group_name_Hall 'P 1'
loop_
_atom_site_label
_atom_site_type_symbol
_atom_site_fract_x
_atom_site_fract_y
_atom_site_fract_z
Ac1 Ac 0.2374 0.2500 0.4341
Ac2 Ac 0.7626 0.7500 0.5659
Ho1 Ho 0.2343 0.2500 0.9370
Ho2 Ho 0.7657 0.7500 0.0630
Cu1 Cu 0.2567 0.7500 0.1841
Cu2 Cu 0.7433 0.2500 0.8159
S1 S 0.0672 0.7500 0.9039
S2 S 0.0677 0.7500 0.3742
S3 S 0.4834 0.5129 0.7674
S4 S 0.4834 0.9871 0.7674
S5 S 0.5166 0.0129 0.2326
S6 S 0.5166 0.4871 0.2326
S7 S 0.9323 0.2500 0.6258
S8 S 0.9328 0.2500 0.0961
```



[2]
A plane-wave DFT calculation with PBE-GGA was carried out for Ac2HoCu2S6 after structural relaxation.

Computed properties:
- energy relative to the elements, uncorrected (meV/atom) = -1262
- energy (eV/cell) = -59.64

```
data_Ac2HoCu2S6
_cell_length_a 7.8131
_cell_length_b 7.8131
_cell_length_c 7.8131
_cell_angle_alpha 53.58
_cell_angle_beta 53.58
_cell_angle_gamma 53.58
_symmetry_space_group_name_H-M 'P 1'
_symmetry_Int_Tables_number 1
_symmetry_space_group_name_Hall 'P 1'
loop_
_atom_site_label
_atom_site_type_symbol
_atom_site_fract_x
_atom_site_fract_y
_atom_site_fract_z
Ac1 Ac 0.2071 0.2071 0.2071
Ac2 Ac 0.7929 0.7929 0.7929
Ho1 Ho 0.0000 0.0000 0.0000
Cu1 Cu 0.4282 0.4282 0.4282
Cu2 Cu 0.5718 0.5718 0.5718
S1 S 0.2174 0.7504 0.7504
S2 S 0.2496 0.2496 0.7826
S3 S 0.2496 0.7826 0.2496
S4 S 0.7504 0.2174 0.7504
S5 S 0.7504 0.7504 0.2174
S6 S 0.7826 0.2496 0.2496
```



[3]
A plane-wave DFT calculation with PBE-GGA was carried out for AcHoCuSe4 after structural relaxation.

Computed properties:
- energy relative to the elements, uncorrected (meV/atom) = -1411
- energy (eV/cell) = -73.19

```
data_AcHoCuSe4
_cell_length_a 7.1182
_cell_length_b 6.0031
_cell_length_c 8.5009
_cell_angle_alpha 90.00
_cell_angle_beta 107.20
_cell_angle_gamma 90.00
_symmetry_space_group_name_H-M 'P 1'
_symmetry_Int_Tables_number 1
_symmetry_space_group_name_Hall 'P 1'
loop_
_atom_site_label
_atom_site_type_symbol
_atom_site_fract_x
_atom_site_fract_y
_atom_site_fract_z
Ac1 Ac 0.2447 0.2500 0.4344
Ac2 Ac 0.7553 0.7500 0.5656
Ho1 Ho 0.2249 0.2500 0.9343
Ho2 Ho 0.7751 0.7500 0.0657
Cu1 Cu 0.2489 0.7500 0.1860
Cu2 Cu 0.7511 0.2500 0.8140
Se1 Se 0.0694 0.7500 0.8994
Se2 Se 0.0695 0.7500 0.3827
Se3 Se 0.4825 0.5104 0.7686
Se4 Se 0.4825 0.9896 0.7686
Se5 Se 0.5175 0.0104 0.2314
Se6 Se 0.5175 0.4896 0.2314
Se7 Se 0.9305 0.2500 0.6173
Se8 Se 0.9306 0.2500 0.1006
```



[4]
A plane-wave DFT calculation with PBE-GGA was carried out for AcHoCu2Se4 after structural relaxation.

Computed properties:
- energy relative to the elements, uncorrected (meV/atom) = -1146
- energy (eV/cell) = -79.97

```
data_AcHoCu2Se4
_cell_length_a 6.8062
_cell_length_b 7.3277
_cell_length_c 8.1989
_cell_angle_alpha 90.00
_cell_angle_beta 90.00
_cell_angle_gamma 90.00
_symmetry_space_group_name_H-M 'P 1'
_symmetry_Int_Tables_number 1
_symmetry_space_group_name_Hall 'P 1'
loop_
_atom_site_label
_atom_site_type_symbol
_atom_site_fract_x
_atom_site_fract_y
_atom_site_fract_z
Ac1 Ac 0.0000 0.0000 0.0000
Ac2 Ac 0.5000 0.5000 0.5000
Ho1 Ho 0.0000 0.0000 0.5000
Ho2 Ho 0.5000 0.5000 0.0000
Cu1 Cu 0.0000 0.5000 0.1544
Cu2 Cu 0.0000 0.5000 0.8456
Cu3 Cu 0.5000 0.0000 0.3456
Cu4 Cu 0.5000 0.0000 0.6544
Se1 Se 0.2412 0.2054 0.3030
Se2 Se 0.2412 0.7946 0.6970
Se3 Se 0.2588 0.2946 0.8030
Se4 Se 0.2588 0.7054 0.1970
Se5 Se 0.7412 0.2946 0.1970
Se6 Se 0.7412 0.7054 0.8030
Se7 Se 0.7588 0.2054 0.6970
Se8 Se 0.7588 0.7946 0.3030
```



[5]
A plane-wave DFT calculation with PBE-GGA was carried out for AcHoCu2Si2 after structural relaxation.

Computed properties:
- energy relative to the elements, uncorrected (meV/atom) = -608
- energy (eV/cell) = -31.37

```
data_AcHoCu2Si2
_cell_length_a 4.2463
_cell_length_b 4.2463
_cell_length_c 7.9458
_cell_angle_alpha 90.00
_cell_angle_beta 90.00
_cell_angle_gamma 120.00
_symmetry_space_group_name_H-M 'P 1'
_symmetry_Int_Tables_number 1
_symmetry_space_group_name_Hall 'P 1'
loop_
_atom_site_label
_atom_site_type_symbol
_atom_site_fract_x
_atom_site_fract_y
_atom_site_fract_z
Ac1 Ac 0.0000 0.0000 0.0000
Ho1 Ho 0.0000 0.0000 0.5000
Cu1 Cu 0.3333 0.6667 0.7108
Cu2 Cu 0.6667 0.3333 0.2892
Si1 Si 0.3333 0.6667 0.2779
Si2 Si 0.6667 0.3333 0.7221
```



[6]
A plane-wave DFT calculation with PBE-GGA was carried out for AcHoCuSi after structural relaxation.

Computed properties:
- energy relative to the elements, uncorrected (meV/atom) = -278
- energy (eV/cell) = -77.27

```
data_AcHoCuSi
_cell_length_a 7.3277
_cell_length_b 7.3277
_cell_length_c 7.3277
_cell_angle_alpha 90.00
_cell_angle_beta 90.00
_cell_angle_gamma 90.00
_symmetry_space_group_name_H-M 'P 1'
_symmetry_Int_Tables_number 1
_symmetry_space_group_name_Hall 'P 1'
loop_
_atom_site_label
_atom_site_type_symbol
_atom_site_fract_x
_atom_site_fract_y
_atom_site_fract_z
Ac1 Ac 0.0000 0.0000 0.0000
Ac2 Ac 0.0000 0.5000 0.5000
Ac3 Ac 0.5000 0.0000 0.5000
Ac4 Ac 0.5000 0.5000 0.0000
Ho1 Ho 0.0000 0.0000 0.5000
Ho2 Ho 0.0000 0.5000 0.0000
Ho3 Ho 0.5000 0.0000 0.0000
Ho4 Ho 0.5000 0.5000 0.5000
Cu1 Cu 0.2500 0.2500 0.7500
Cu2 Cu 0.2500 0.7500 0.2500
Cu3 Cu 0.7500 0.2500 0.2500
Cu4 Cu 0.7500 0.7500 0.7500
Si1 Si 0.2500 0.2500 0.2500
Si2 Si 0.2500 0.7500 0.7500
Si3 Si 0.7500 0.2500 0.7500
Si4 Si 0.7500 0.7500 0.2500
```



[7]
A plane-wave DFT calculation with PBE-GGA was carried out for AcHoCuSn after structural relaxation.

Computed properties:
- energy (eV/cell) = -72.42
- energy relative to the elements (eV/atom) = -0.3302

```
data_AcHoCuSn
_cell_length_a 7.6357
_cell_length_b 7.6357
_cell_length_c 7.6357
_cell_angle_alpha 90.00
_cell_angle_beta 90.00
_cell_angle_gamma 90.00
_symmetry_space_group_name_H-M 'P 1'
_symmetry_Int_Tables_number 1
_symmetry_space_group_name_Hall 'P 1'
loop_
_atom_site_label
_atom_site_type_symbol
_atom_site_fract_x
_atom_site_fract_y
_atom_site_fract_z
Ac1 Ac 0.0000 0.0000 0.0000
Ac2 Ac 0.0000 0.5000 0.5000
Ac3 Ac 0.5000 0.0000 0.5000
Ac4 Ac 0.5000 0.5000 0.0000
Ho1 Ho 0.0000 0.0000 0.5000
Ho2 Ho 0.0000 0.5000 0.0000
Ho3 Ho 0.5000 0.0000 0.0000
Ho4 Ho 0.5000 0.5000 0.5000
Cu1 Cu 0.2500 0.2500 0.2500
Cu2 Cu 0.2500 0.7500 0.7500
Cu3 Cu 0.7500 0.2500 0.7500
Cu4 Cu 0.7500 0.7500 0.2500
Sn1 Sn 0.2500 0.2500 0.7500
Sn2 Sn 0.2500 0.7500 0.2500
Sn3 Sn 0.7500 0.2500 0.2500
Sn4 Sn 0.7500 0.7500 0.7500
```



[8]
A plane-wave DFT calculation with PBE-GGA was carried out for AcHoCu2Te4 after structural relaxation.

Computed properties:
- energy relative to the elements, uncorrected (meV/atom) = -789
- energy (eV/cell) = -71.51

```
data_AcHoCu2Te4
_cell_length_a 7.3202
_cell_length_b 7.9037
_cell_length_c 8.6048
_cell_angle_alpha 90.00
_cell_angle_beta 90.00
_cell_angle_gamma 90.00
_symmetry_space_group_name_H-M 'P 1'
_symmetry_Int_Tables_number 1
_symmetry_space_group_name_Hall 'P 1'
loop_
_atom_site_label
_atom_site_type_symbol
_atom_site_fract_x
_atom_site_fract_y
_atom_site_fract_z
Ac1 Ac 0.0000 0.0000 0.0000
Ac2 Ac 0.5000 0.5000 0.5000
Ho1 Ho 0.0000 0.0000 0.5000
Ho2 Ho 0.5000 0.5000 0.0000
Cu1 Cu 0.0000 0.5000 0.1447
Cu2 Cu 0.0000 0.5000 0.8553
Cu3 Cu 0.5000 0.0000 0.3553
Cu4 Cu 0.5000 0.0000 0.6447
Te1 Te 0.2460 0.2059 0.3005
Te2 Te 0.2460 0.7941 0.6995
Te3 Te 0.2540 0.2941 0.8005
Te4 Te 0.2540 0.7059 0.1995
Te5 Te 0.7460 0.2941 0.1995
Te6 Te 0.7460 0.7059 0.8005
Te7 Te 0.7540 0.2059 0.6995
Te8 Te 0.7540 0.7941 0.3005
```



[9]
A plane-wave DFT calculation with PBE-GGA was carried out for Ac2HoCuTe5 after structural relaxation.

Computed properties:
- energy relative to the elements, uncorrected (meV/atom) = -1308
- energy (eV/cell) = -88.75

```
data_Ac2HoCuTe5
_cell_length_a 10.0215
_cell_length_b 10.0215
_cell_length_c 13.3131
_cell_angle_alpha 90.00
_cell_angle_beta 90.00
_cell_angle_gamma 154.25
_symmetry_space_group_name_H-M 'P 1'
_symmetry_Int_Tables_number 1
_symmetry_space_group_name_Hall 'P 1'
loop_
_atom_site_label
_atom_site_type_symbol
_atom_site_fract_x
_atom_site_fract_y
_atom_site_fract_z
Ac1 Ac 0.1102 0.8898 0.5000
Ac2 Ac 0.1242 0.8758 0.1213
Ac3 Ac 0.8758 0.1242 0.6213
Ac4 Ac 0.8898 0.1102 0.0000
Ho1 Ho 0.1909 0.8091 0.8226
Ho2 Ho 0.8091 0.1909 0.3226
Cu1 Cu 0.4276 0.5724 0.2676
Cu2 Cu 0.5724 0.4276 0.7676
Te1 Te 0.0440 0.9560 0.8682
Te2 Te 0.2875 0.7125 0.4796
Te3 Te 0.3090 0.6910 0.1628
Te4 Te 0.3517 0.6483 0.8137
Te5 Te 0.4990 0.5010 0.0983
Te6 Te 0.5010 0.4990 0.5983
Te7 Te 0.6483 0.3517 0.3137
Te8 Te 0.6910 0.3090 0.6628
Te9 Te 0.7125 0.2875 0.9796
Te10 Te 0.9560 0.0440 0.3682
```



[10]
A plane-wave DFT calculation with PBE-GGA was carried out for AcHoTlCu after structural relaxation.

Computed properties:
- energy (eV/cell) = -63.12
- energy relative to the elements (eV/atom) = -0.1579

```
data_AcHoTlCu
_cell_length_a 7.6836
_cell_length_b 7.6836
_cell_length_c 7.6836
_cell_angle_alpha 90.00
_cell_angle_beta 90.00
_cell_angle_gamma 90.00
_symmetry_space_group_name_H-M 'P 1'
_symmetry_Int_Tables_number 1
_symmetry_space_group_name_Hall 'P 1'
loop_
_atom_site_label
_atom_site_type_symbol
_atom_site_fract_x
_atom_site_fract_y
_atom_site_fract_z
Ac1 Ac 0.0000 0.0000 0.0000
Ac2 Ac 0.0000 0.5000 0.5000
Ac3 Ac 0.5000 0.0000 0.5000
Ac4 Ac 0.5000 0.5000 0.0000
Ho1 Ho 0.0000 0.0000 0.5000
Ho2 Ho 0.0000 0.5000 0.0000
Ho3 Ho 0.5000 0.0000 0.0000
Ho4 Ho 0.5000 0.5000 0.5000
Tl1 Tl 0.2500 0.2500 0.7500
Tl2 Tl 0.2500 0.7500 0.2500
Tl3 Tl 0.7500 0.2500 0.2500
Tl4 Tl 0.7500 0.7500 0.7500
Cu1 Cu 0.2500 0.2500 0.2500
Cu2 Cu 0.2500 0.7500 0.7500
Cu3 Cu 0.7500 0.2500 0.7500
Cu4 Cu 0.7500 0.7500 0.2500
```



[11]
A plane-wave DFT calculation with PBE-GGA was carried out for AcCuI after structural relaxation.

Computed properties:
- energy relative to the elements, uncorrected (meV/atom) = -713
- energy (eV/cell) = -23.79
- energy above the most stable polymorph in this dataset (meV per atom) = 94

```
data_AcCuI
_cell_length_a 4.1448
_cell_length_b 4.4092
_cell_length_c 11.1806
_cell_angle_alpha 90.00
_cell_angle_beta 100.67
_cell_angle_gamma 90.00
_symmetry_space_group_name_H-M 'P 1'
_symmetry_Int_Tables_number 1
_symmetry_space_group_name_Hall 'P 1'
loop_
_atom_site_label
_atom_site_type_symbol
_atom_site_fract_x
_atom_site_fract_y
_atom_site_fract_z
Ac1 Ac 0.0826 0.0000 0.1652
Ac2 Ac 0.9174 0.5000 0.8348
Cu1 Cu 0.4795 0.9989 0.9555
Cu2 Cu 0.5205 0.4989 0.0445
I1 I 0.3281 0.0006 0.6550
I2 I 0.6719 0.5006 0.3450
```



[12]
A plane-wave DFT calculation with PBE-GGA was carried out for AcCuI2 after structural relaxation.

Computed properties:
- energy relative to the elements, uncorrected (meV/atom) = -463
- energy (eV/cell) = -39.47

```
data_AcCuI2
_cell_length_a 4.1992
_cell_length_b 4.1992
_cell_length_c 29.4954
_cell_angle_alpha 90.00
_cell_angle_beta 90.00
_cell_angle_gamma 120.00
_symmetry_space_group_name_H-M 'P 1'
_symmetry_Int_Tables_number 1
_symmetry_space_group_name_Hall 'P 1'
loop_
_atom_site_label
_atom_site_type_symbol
_atom_site_fract_x
_atom_site_fract_y
_atom_site_fract_z
Ac1 Ac 0.0000 0.0000 0.0000
Ac2 Ac 0.3333 0.6667 0.6667
Ac3 Ac 0.6667 0.3333 0.3333
Cu1 Cu 0.0000 0.0000 0.5000
Cu2 Cu 0.3333 0.6667 0.1667
Cu3 Cu 0.6667 0.3333 0.8333
I1 I 0.0000 0.0000 0.4154
I2 I 0.0000 0.0000 0.5846
I3 I 0.3333 0.6667 0.0821
I4 I 0.3333 0.6667 0.2513
I5 I 0.6667 0.3333 0.7487
I6 I 0.6667 0.3333 0.9179
```



[13]
A plane-wave DFT calculation with PBE-GGA was carried out for AcCuI after structural relaxation.

Computed properties:
- energy relative to the elements, uncorrected (meV/atom) = -808
- energy (eV/cell) = -48.71
- energy above the most stable polymorph in this dataset (meV per atom) = 0

```
data_AcCuI
_cell_length_a 7.5881
_cell_length_b 4.4263
_cell_length_c 12.8185
_cell_angle_alpha 90.00
_cell_angle_beta 91.56
_cell_angle_gamma 90.00
_symmetry_space_group_name_H-M 'P 1'
_symmetry_Int_Tables_number 1
_symmetry_space_group_name_Hall 'P 1'
loop_
_atom_site_label
_atom_site_type_symbol
_atom_site_fract_x
_atom_site_fract_y
_atom_site_fract_z
Ac1 Ac 0.0206 0.0000 0.3410
Ac2 Ac 0.4794 0.5000 0.6590
Ac3 Ac 0.5206 0.5000 0.3410
Ac4 Ac 0.9794 0.0000 0.6590
Cu1 Cu 0.1663 0.5000 0.5007
Cu2 Cu 0.3337 0.0000 0.4993
Cu3 Cu 0.6663 0.0000 0.5007
Cu4 Cu 0.8337 0.5000 0.4993
I1 I 0.1786 0.5000 0.1608
I2 I 0.3214 0.0000 0.8392
I3 I 0.6786 0.0000 0.1608
I4 I 0.8214 0.5000 0.8392
```